(1)
{"formula": "DyY2Pa", "functional": "PBE", "state": "relaxed", "lattice_angstrom": [[1.671, 0.965, 12.270], [-1.671, 0.965, 12.270], [0.000, -1.929, 12.270]], "species": ["Dy", "Y", "Y", "Pa"], "frac_coords": [[0.000, 0.000, 0.000], [0.413, 0.413, 0.413], [0.587, 0.587, 0.587], [0.500, 0.500, 0.500]], "total_magnetization_mub_per_atom": 0.00, "e_form_ev_per_atom": 0.30, "dos_ef_per_ev_atom": 1.422, "space_group": "No. 166"}

---

(2)
{"formula": "PuB2Rh4", "functional": "PBE", "state": "relaxed", "lattice_angstrom": [[2.683, -2.691, 0.000], [2.683, 2.691, 0.000], [-1.389, 0.000, 6.703]], "species": ["Pu", "B", "B", "Rh", "Rh", "Rh", "Rh"], "frac_coords": [[0.000, 0.000, 0.000], [0.463, 0.463, 0.857], [0.537, 0.537, 0.143], [0.081, 0.579, 0.319], [0.421, 0.919, 0.681], [0.579, 0.081, 0.319], [0.919, 0.421, 0.681]], "total_magnetization_mub_per_atom": 0.54, "e_form_ev_per_atom": -0.27, "dos_ef_per_ev_atom": 1.799, "space_group": "No. 12"}

---

(3)
{"formula": "Sm3Cu4Ni2", "functional": "PBE", "state": "relaxed", "lattice_angstrom": [[5.245, -2.077, 0.000], [5.245, 2.077, 0.000], [-2.580, 0.000, 7.793]], "species": ["Sm", "Sm", "Sm", "Cu", "Cu", "Cu", "Cu", "Ni", "Ni"], "frac_coords": [[0.000, 0.000, 0.000], [0.327, 0.327, 0.341], [0.673, 0.673, 0.659], [0.049, 0.049, 0.383], [0.279, 0.279, 0.942], [0.721, 0.721, 0.058], [0.951, 0.951, 0.617], [0.393, 0.393, 0.727], [0.607, 0.607, 0.273]], "total_magnetization_mub_per_atom": 0.00, "e_form_ev_per_atom": -0.27, "dos_ef_per_ev_atom": 0.697, "space_group": "No. 12"}

---

(4)
{"formula": "TeBr2F2", "functional": "PBE", "state": "relaxed", "lattice_angstrom": [[7.344, 0.000, 0.000], [0.000, 7.344, 0.000], [0.000, 0.000, 3.493]], "species": ["Te", "Te", "Br", "Br", "Br", "Br", "F", "F", "F", "F"], "frac_coords": [[0.000, 0.000, 0.000], [0.500, 0.500, 0.000], [0.133, 0.367, 0.000], [0.367, 0.867, 0.000], [0.633, 0.133, 0.000], [0.867, 0.633, 0.000], [0.174, 0.674, 0.500], [0.326, 0.174, 0.500], [0.674, 0.826, 0.500], [0.826, 0.326, 0.500]], "total_magnetization_mub_per_atom": 0.00, "dos_ef_per_ev_atom": 0.781, "de_polymorph_ev_per_fu": 0.000, "space_group": "No. 127"}

---

(5)
{"formula": "TmCuAgGe", "functional": "PBE", "state": "relaxed", "lattice_angstrom": [[0.000, 3.316, 3.316], [3.316, 0.000, 3.316], [3.316, 3.316, 0.000]], "species": ["Tm", "Cu", "Ag", "Ge"], "frac_coords": [[0.000, 0.000, 0.000], [0.750, 0.750, 0.750], [0.500, 0.500, 0.500], [0.250, 0.250, 0.250]], "total_magnetization_mub_per_atom": 0.00, "e_form_ev_per_atom": -0.26, "dos_ef_per_ev_atom": 0.593, "space_group": "No. 216"}

---

(6)
{"formula": "CaBe3", "functional": "PBE", "state": "relaxed", "lattice_angstrom": [[0.000, 3.027, 3.027], [3.027, 0.000, 3.027], [3.027, 3.027, 0.000]], "species": ["Ca", "Be", "Be", "Be"], "frac_coords": [[0.000, 0.000, 0.000], [0.250, 0.250, 0.250], [0.500, 0.500, 0.500], [0.750, 0.750, 0.750]], "total_magnetization_mub_per_atom": 0.00, "e_form_ev_per_atom": 0.52, "dos_ef_per_ev_atom": 0.437, "de_polymorph_ev_per_fu": 1.842, "space_group": "No. 225"}

---

(7)
{"formula": "Sm6MgIn2", "functional": "PBE", "state": "relaxed", "lattice_angstrom": [[8.184, -3.842, 0.000], [8.184, 3.842, 0.000], [-1.510, 0.000, 4.982]], "species": ["Sm", "Sm", "Sm", "Sm", "Sm", "Sm", "Mg", "In", "In"], "frac_coords": [[0.082, 0.584, 0.332], [0.247, 0.753, 0.000], [0.416, 0.918, 0.668], [0.584, 0.082, 0.332], [0.753, 0.247, 0.000], [0.918, 0.416, 0.668], [0.500, 0.500, 0.500], [0.167, 0.167, 0.168], [0.833, 0.833, 0.832]], "total_magnetization_mub_per_atom": 0.00, "e_form_ev_per_atom": 0.07, "dos_ef_per_ev_atom": 1.810, "space_group": "No. 12"}

---

(8)
{"formula": "RbLi2SeI", "functional": "PBE", "state": "relaxed", "lattice_angstrom": [[7.853, 0.000, 0.000], [0.000, 4.561, 0.000], [-2.561, 0.000, 8.837]], "species": ["Rb", "Rb", "Li", "Li", "Li", "Li", "Se", "Se", "I", "I"], "frac_coords": [[0.064, 0.250, 0.309], [0.936, 0.750, 0.691], [0.470, 0.250, 0.592], [0.475, 0.750, 0.841], [0.525, 0.250, 0.159], [0.530, 0.750, 0.408], [0.313, 0.750, 0.571], [0.687, 0.250, 0.429], [0.297, 0.750, 0.072], [0.703, 0.250, 0.928]], "total_magnetization_mub_per_atom": 0.00, "dos_ef_per_ev_atom": 0.000, "de_polymorph_ev_per_fu": 0.000, "space_group": "No. 11"}

---

(9)
{"formula": "Y2IrPt2", "functional": "PBE", "state": "relaxed", "lattice_angstrom": [[7.138, 0.000, 0.000], [0.000, 7.138, 0.000], [0.000, 0.000, 4.043]], "species": ["Y", "Y", "Y", "Y", "Ir", "Ir", "Pt", "Pt", "Pt", "Pt"], "frac_coords": [[0.177, 0.323, 0.000], [0.323, 0.823, 0.000], [0.677, 0.177, 0.000], [0.823, 0.677, 0.000], [0.000, 0.000, 0.500], [0.500, 0.500, 0.500], [0.133, 0.633, 0.500], [0.367, 0.133, 0.500], [0.633, 0.867, 0.500], [0.867, 0.367, 0.500]], "total_magnetization_mub_per_atom": 0.00, "e_form_ev_per_atom": -0.88, "dos_ef_per_ev_atom": 0.817, "space_group": "No. 127"}

---

(10)
{"formula": "ScCu2Ag2", "functional": "PBE", "state": "relaxed", "lattice_angstrom": [[7.095, 0.000, 0.000], [0.000, 7.095, 0.000], [0.000, 0.000, 3.311]], "species": ["Sc", "Sc", "Cu", "Cu", "Cu", "Cu", "Ag", "Ag", "Ag", "Ag"], "frac_coords": [[0.000, 0.000, 0.000], [0.500, 0.500, 0.000], [0.123, 0.377, 0.000], [0.377, 0.877, 0.000], [0.623, 0.123, 0.000], [0.877, 0.623, 0.000], [0.173, 0.673, 0.500], [0.327, 0.173, 0.500], [0.673, 0.827, 0.500], [0.827, 0.327, 0.500]], "total_magnetization_mub_per_atom": 0.00, "e_form_ev_per_atom": -0.01, "dos_ef_per_ev_atom": 0.578, "de_polymorph_ev_per_fu": 0.000, "space_group": "No. 127"}

---

(11)
{"formula": "Mg3CdSn2", "functional": "PBE", "state": "relaxed", "lattice_angstrom": [[-3.424, 6.861, 3.565], [3.424, -6.861, 3.565], [3.424, 6.861, -3.565]], "species": ["Mg", "Mg", "Mg", "Mg", "Mg", "Mg", "Cd", "Cd", "Sn", "Sn", "Sn", "Sn"], "frac_coords": [[0.021, 0.750, 0.271], [0.250, 0.250, 0.000], [0.479, 0.750, 0.729], [0.521, 0.250, 0.271], [0.750, 0.750, 0.000], [0.979, 0.250, 0.729], [0.000, 0.500, 0.500], [0.500, 0.000, 0.500], [0.138, 0.209, 0.347], [0.362, 0.709, 0.071], [0.638, 0.291, 0.929], [0.862, 0.791, 0.653]], "total_magnetization_mub_per_atom": 0.00, "e_form_ev_per_atom": -0.06, "dos_ef_per_ev_atom": 0.184, "de_polymorph_ev_per_fu": 0.370, "space_group": "No. 72"}

---

(12)
{"formula": "CaTl2Au", "functional": "PBE", "state": "relaxed", "lattice_angstrom": [[0.000, 3.678, 3.678], [3.678, 0.000, 3.678], [3.678, 3.678, 0.000]], "species": ["Ca", "Tl", "Tl", "Au"], "frac_coords": [[0.000, 0.000, 0.000], [0.250, 0.250, 0.250], [0.750, 0.750, 0.750], [0.500, 0.500, 0.500]], "total_magnetization_mub_per_atom": 0.00, "e_form_ev_per_atom": -0.25, "dos_ef_per_ev_atom": 0.734, "space_group": "No. 225"}

---

(13)
{"formula": "LaYNi2", "functional": "PBE", "state": "relaxed", "lattice_angstrom": [[4.025, 0.000, 0.000], [0.000, 4.013, 0.000], [-0.027, 0.000, 5.687]], "species": ["La", "Y", "Ni", "Ni"], "frac_coords": [[0.000, 0.000, 0.000], [0.500, 0.500, 0.500], [0.000, 0.000, 0.500], [0.500, 0.500, 0.000]], "total_magnetization_mub_per_atom": 0.00, "e_form_ev_per_atom": -0.21, "dos_ef_per_ev_atom": 0.624, "de_polymorph_ev_per_fu": 0.646, "space_group": "No. 10"}

---

(14)
{"formula": "BaTl3Ga", "functional": "PBE", "state": "relaxed", "lattice_angstrom": [[5.590, 0.000, 0.000], [0.000, 5.590, 0.000], [0.000, 0.000, 5.590]], "species": ["Ba", "Tl", "Tl", "Tl", "Ga"], "frac_coords": [[0.000, 0.000, 0.000], [0.000, 0.500, 0.500], [0.500, 0.000, 0.500], [0.500, 0.500, 0.000], [0.500, 0.500, 0.500]], "total_magnetization_mub_per_atom": 0.00, "e_form_ev_per_atom": -0.07, "dos_ef_per_ev_atom": 1.009, "de_polymorph_ev_per_fu": 0.739, "space_group": "No. 221"}

---

(15)
{"formula": "KBa2La", "functional": "PBE", "state": "relaxed", "lattice_angstrom": [[2.114, 1.220, 14.267], [-2.114, 1.220, 14.267], [0.000, -2.441, 14.267]], "species": ["K", "Ba", "Ba", "La"], "frac_coords": [[0.000, 0.000, 0.000], [0.242, 0.242, 0.242], [0.758, 0.758, 0.758], [0.500, 0.500, 0.500]], "total_magnetization_mub_per_atom": 0.01, "e_form_ev_per_atom": 0.16, "dos_ef_per_ev_atom": 2.036, "de_polymorph_ev_per_fu": 0.022, "space_group": "No. 166"}

---

(16)
{"formula": "NdErCdAg", "functional": "PBE", "state": "relaxed", "lattice_angstrom": [[0.000, 3.736, 3.736], [3.736, 0.000, 3.736], [3.736, 3.736, 0.000]], "species": ["Nd", "Er", "Cd", "Ag"], "frac_coords": [[0.000, 0.000, 0.000], [0.500, 0.500, 0.500], [0.750, 0.750, 0.750], [0.250, 0.250, 0.250]], "total_magnetization_mub_per_atom": 0.00, "e_form_ev_per_atom": -0.29, "dos_ef_per_ev_atom": 0.806, "de_polymorph_ev_per_fu": 0.060, "space_group": "No. 216"}

---

(17)
{"formula": "LaPr2DyBi4", "functional": "PBE", "state": "relaxed", "lattice_angstrom": [[7.994, 0.000, 0.000], [0.000, 4.624, 0.000], [-2.667, 0.000, 7.545]], "species": ["La", "Pr", "Pr", "Dy", "Bi", "Bi", "Bi", "Bi"], "frac_coords": [[0.000, 0.000, 0.000], [0.000, 0.500, 0.500], [0.500, 0.000, 0.500], [0.500, 0.500, 0.000], [0.255, 0.500, 0.248], [0.258, 0.000, 0.756], [0.742, 0.000, 0.244], [0.745, 0.500, 0.752]], "total_magnetization_mub_per_atom": 0.00, "e_form_ev_per_atom": -0.95, "dos_ef_per_ev_atom": 0.127, "space_group": "No. 10"}

---

(18)
{"formula": "Sc2ReAu", "functional": "PBE", "state": "relaxed", "lattice_angstrom": [[2.962, 0.000, 0.000], [0.000, 4.496, 0.000], [0.000, 0.000, 5.665]], "species": ["Sc", "Sc", "Re", "Au"], "frac_coords": [[0.000, 0.000, 0.000], [0.500, 0.500, 0.327], [0.500, 0.500, 0.838], [0.000, 0.000, 0.512]], "total_magnetization_mub_per_atom": 0.00, "e_form_ev_per_atom": -0.12, "dos_ef_per_ev_atom": 0.588, "space_group": "No. 25"}

---

(19)
{"formula": "HfTeSN2", "functional": "PBE", "state": "relaxed", "lattice_angstrom": [[4.149, 0.000, 0.000], [0.000, 4.149, 0.000], [0.000, 0.000, 5.220]], "species": ["Hf", "Te", "S", "N", "N"], "frac_coords": [[0.000, 0.000, 0.000], [0.500, 0.500, 0.500], [0.000, 0.000, 0.500], [0.000, 0.500, 0.000], [0.500, 0.000, 0.000]], "total_magnetization_mub_per_atom": 0.12, "dos_ef_per_ev_atom": 0.661, "de_polymorph_ev_per_fu": 0.000, "space_group": "No. 123"}

---

(20)
{"formula": "Cs2AgBi2", "functional": "PBE", "state": "relaxed", "lattice_angstrom": [[-3.881, 3.881, 4.308], [3.881, -3.881, 4.308], [3.881, 3.881, -4.308]], "species": ["Cs", "Cs", "Ag", "Bi", "Bi"], "frac_coords": [[0.250, 0.750, 0.500], [0.750, 0.250, 0.500], [0.000, 0.000, 0.000], [0.327, 0.327, 0.000], [0.673, 0.673, 0.000]], "total_magnetization_mub_per_atom": 0.00, "e_form_ev_per_atom": 0.02, "dos_ef_per_ev_atom": 1.014, "de_polymorph_ev_per_fu": 1.430, "space_group": "No. 139"}